10
Lattice="7.670 0.000 0.000 0.000 7.670 0.000 0.000 0.000 5.830" Properties=species:S:1:pos:R:3 comment="K2Na2Pt PBE relaxed" total_magnetization_mub_per_atom=0.00 sg="No. 127" formation_enthalpy_0k_kj_per_mol_fu=39.8 rho_g_cm3=3.09 pbc="T T T"
Na 6.483 5.023 0.000
Na 2.648 6.483 0.000
Na 1.188 2.648 0.000
Na 5.023 1.188 0.000
K 5.356 6.150 2.915
K 1.521 5.356 2.915
K 6.150 2.314 2.915
K 2.314 1.521 2.915
Pt 0.000 0.000 0.000
Pt 3.835 3.835 0.000